[1]
Density functional theory data (GGA-PBE) for a relaxed La2ScBi crystal.

## Properties
Uncorrected energy in eV per atom: -5.147
ΔH_f (0 K) in meV/atom: -130
Energy relative to the lowest polymorph listed for this composition in eV/atom: 0.281

The structure in CIF format:
```
data_La2ScBi
_chemical_formula_sum 'La8 Sc4 Bi4'
_symmetry_space_group_name_H-M 'I -4 2 d'
_symmetry_Int_Tables_number 122
_symmetry_space_group_name_Hall 'I -4 2bw'
_cell_length_a 9.0700
_cell_length_b 9.0700
_cell_length_c 6.3499
_cell_angle_alpha 90.00
_cell_angle_beta 90.00
_cell_angle_gamma 90.00
loop_
_atom_site_label
_atom_site_fract_x
_atom_site_fract_y
_atom_site_fract_z
La1 0.2389 0.7500 0.1250
Sc1 0.0000 0.0000 0.5000
Bi1 0.0000 0.0000 0.0000
```

=====

[2]
Density functional theory data (GGA-PBE) for a relaxed La4ScBi5 crystal.

## Properties
Uncorrected energy in eV per atom: -5.486
ΔH_f (0 K) in meV/atom: -942

The structure in CIF format:
```
data_La4ScBi5
_chemical_formula_sum 'La8 Sc2 Bi10'
_symmetry_space_group_name_H-M 'I 4/m'
_symmetry_Int_Tables_number 87
_symmetry_space_group_name_Hall '-I 4'
_cell_length_a 10.3278
_cell_length_b 10.3278
_cell_length_c 6.5771
_cell_angle_alpha 90.00
_cell_angle_beta 90.00
_cell_angle_gamma 90.00
loop_
_atom_site_label
_atom_site_fract_x
_atom_site_fract_y
_atom_site_fract_z
La1 0.0947 0.3007 0.0000
Sc1 0.0000 0.0000 0.5000
Bi1 0.0000 0.0000 0.0000
Bi2 0.0968 0.2858 0.5000
```

=====

[3]
Density functional theory data (GGA-PBE) for a relaxed LaSc3Bi crystal.

## Properties
Uncorrected energy in eV per atom: -4.807
ΔH_f (0 K) in meV/atom: 753
Energy relative to the lowest polymorph listed for this composition in eV/atom: 0.475

The structure in CIF format:
```
data_LaSc3Bi
_chemical_formula_sum 'La1 Sc3 Bi1'
_symmetry_space_group_name_H-M 'P m -3 m'
_symmetry_Int_Tables_number 221
_symmetry_space_group_name_Hall '-P 4 2 3'
_cell_length_a 5.2591
_cell_length_b 5.2591
_cell_length_c 5.2591
_cell_angle_alpha 90.00
_cell_angle_beta 90.00
_cell_angle_gamma 90.00
loop_
_atom_site_label
_atom_site_fract_x
_atom_site_fract_y
_atom_site_fract_z
La1 0.0000 0.0000 0.0000
Sc1 0.0000 0.0000 0.5000
Bi1 0.5000 0.5000 0.5000
```

=====

[4]
Density functional theory data (GGA-PBE) for a relaxed LaSc2Bi crystal.

## Properties
Uncorrected energy in eV per atom: -5.697
ΔH_f (0 K) in meV/atom: -329

The structure in CIF format:
```
data_LaSc2Bi
_chemical_formula_sum 'La1 Sc2 Bi1'
_symmetry_space_group_name_H-M 'P 4/m m m'
_symmetry_Int_Tables_number 123
_symmetry_space_group_name_Hall '-P 4 2'
_cell_length_a 4.8321
_cell_length_b 4.8321
_cell_length_c 4.5908
_cell_angle_alpha 90.00
_cell_angle_beta 90.00
_cell_angle_gamma 90.00
loop_
_atom_site_label
_atom_site_fract_x
_atom_site_fract_y
_atom_site_fract_z
La1 0.0000 0.0000 0.0000
Sc1 0.0000 0.5000 0.5000
Bi1 0.5000 0.5000 0.0000
```

=====

[5]
Density functional theory data (GGA-PBE) for a relaxed LaSc2Bi4 crystal.

## Properties
Uncorrected energy in eV per atom: -4.718
ΔH_f (0 K) in meV/atom: 12

The structure in CIF format:
```
data_LaSc2Bi4
_chemical_formula_sum 'La2 Sc4 Bi8'
_symmetry_space_group_name_H-M 'I 4/m m m'
_symmetry_Int_Tables_number 139
_symmetry_space_group_name_Hall '-I 4 2'
_cell_length_a 5.9403
_cell_length_b 5.9403
_cell_length_c 15.2879
_cell_angle_alpha 90.00
_cell_angle_beta 90.00
_cell_angle_gamma 90.00
loop_
_atom_site_label
_atom_site_fract_x
_atom_site_fract_y
_atom_site_fract_z
La1 0.0000 0.0000 0.0000
Sc1 0.0000 0.0000 0.4021
Bi1 0.0000 0.0000 0.2157
Bi2 0.0000 0.5000 0.0000
```

=====

[6]
Density functional theory data (GGA-PBE) for a relaxed LaSm2ScBi4 crystal.

## Properties
Uncorrected energy in eV per atom: -5.387
ΔH_f (0 K) in meV/atom: -860

The structure in CIF format:
```
data_LaSm2ScBi4
_chemical_formula_sum 'La1 Sm2 Sc1 Bi4'
_symmetry_space_group_name_H-M 'P 1 2/m 1'
_symmetry_Int_Tables_number 10
_cell_length_a 7.8336
_cell_length_b 4.5395
_cell_length_c 7.8580
_cell_angle_alpha 90.00
_cell_angle_beta 109.47
_cell_angle_gamma 90.00
loop_
_symmetry_equiv_pos_as_xyz
'x,y,z'
'-x,-y,-z'
'-x,y,-z'
'x,-y,z'
loop_
_atom_site_label
_atom_site_fract_x
_atom_site_fract_y
_atom_site_fract_z
La1 0.0000 0.0000 0.0000
Sm1 0.0000 0.5000 0.5000
Sm2 0.5000 0.0000 0.5000
Sc1 0.5000 0.5000 0.0000
Bi1 0.2614 0.5000 0.2488
Bi2 0.2655 0.0000 0.7605
```